(1)
# K2Y2Al

A relaxed structure of K2Y2Al (PBE, Alexandria).

For the energy of formation from the pure elements, the calculation gives 0.71 eV per atom. The offset from the most stable computed form comes out at 283 meV/atom. The calculation puts the density of states at the Fermi level at 7.3 states/eV/f.u. Its total energy is -3.06 eV/atom.

It has space group I4/mmm (No. 139), with a = 4.475 Å, b = 4.475 Å, c = 22.235 Å, α = 90.00°, β = 90.00° and γ = 90.00°. The asymmetric unit holds K at (0.000, 0.000, 0.090), Y at (0.000, 0.500, 0.250) and Al at (0.000, 0.000, 0.500).

(2)
# SmAl2SiOs2

A relaxed structure of SmAl2SiOs2 (PBE, Alexandria).

The calculation puts the density of states at the Fermi level at 4.1 states/eV/f.u. Its total energy is -6.91 eV/atom. As for the uncorrected formation energy: -0.23 eV/atom.

It has space group P4/mmm (No. 123), with a = 4.455 Å, b = 4.455 Å, c = 5.685 Å, α = 90.00°, β = 90.00° and γ = 90.00°. The asymmetric unit holds Sm at (0.000, 0.000, 0.000), Al at (0.500, 0.500, 0.237), Si at (0.000, 0.000, 0.500) and Os at (0.000, 0.500, 0.500).